1:
DFT (GGA-PBE) results for an optimized crystal structure of BaSiSe3.

Results
Fermi-level density of states = 0.000 states/eV/atom
SG = No. 2

Cell lengths 5.5296, 7.4732, 7.4808 Å; angles 78.61, 86.32, 86.35 degrees
Last column: nearest neighbours and their distance in Å.
Element x y z (fractional)
1 Si 0.7422 0.6161 0.7277  4 Se 2.24-2.34
2 Si 0.7425 0.2883 0.0545  4 Se 2.24-2.34
3 Se 0.9561 0.5558 0.9948  2 Si 2.34
4 Se 0.5287 0.3486 0.7874  2 Si 2.34
5 Se 0.9810 0.0335 0.0567  1 Si 2.24
6 Se 0.9804 0.6196 0.4726  1 Si 2.24
7 Se 0.5036 0.8709 0.7255  1 Si 2.24
8 Se 0.5043 0.2848 0.3095  1 Si 2.24
9 Ba 0.9788 0.1312 0.5706  7 Se 3.38-3.58
10 Ba 0.5058 0.7730 0.2117  7 Se 3.38-3.58

2:
DFT (GGA-PBE) results for an optimized crystal structure of BaSiSe3.

Results
Fermi-level density of states = 0.529 states/eV/atom
SG = No. 221

Cell lengths 5.0445, 5.0445, 5.0445 Å; angles 90.00, 90.00, 90.00 degrees
Last column: nearest neighbours and their distance in Å.
Element x y z (fractional)
1 Ba 0.5000 0.5000 0.5000  12 Se 3.57
2 Se 0.5000 0.0000 0.0000  2 Si 2.52
3 Se 0.0000 0.5000 0.0000  2 Si 2.52
4 Se 0.0000 0.0000 0.5000  2 Si 2.52
5 Si 0.0000 0.0000 0.0000  6 Se 2.52

3:
DFT (GGA-PBE) results for an optimized crystal structure of BaSiSe3.

Results
Fermi-level density of states = 0.000 states/eV/atom
SG = No. 14

Cell lengths 6.4391, 9.0349, 12.3784 Å; angles 90.00, 99.40, 90.00 degrees
Last column: nearest neighbours and their distance in Å.
Element x y z (fractional)
1 Se 0.0806 0.0414 0.2419  1 Si 2.24
2 Se 0.1411 0.6665 0.5848  1 Si 2.24
3 Se 0.2585 0.0612 0.5570  2 Si 2.34-2.38
4 Se 0.8589 0.3335 0.4152  1 Si 2.24
5 Se 0.7585 0.4388 0.0570  2 Si 2.34-2.38
6 Se 0.9194 0.9586 0.7581  1 Si 2.24
7 Se 0.3589 0.1665 0.9152  1 Si 2.24
8 Se 0.4194 0.5414 0.2581  1 Si 2.24
9 Se 0.2415 0.5612 0.9430  2 Si 2.34-2.38
10 Se 0.6411 0.8335 0.0848  1 Si 2.24
11 Se 0.7415 0.9388 0.4430  2 Si 2.34-2.38
12 Se 0.5806 0.4586 0.7419  1 Si 2.24
13 Ba 0.9609 0.6753 0.3083  7 Se 3.34-3.65, 1 Si 3.69
14 Ba 0.5391 0.1753 0.1917  7 Se 3.34-3.65, 1 Si 3.69
15 Ba 0.4609 0.8247 0.8083  7 Se 3.34-3.65, 1 Si 3.69
16 Ba 0.0391 0.3247 0.6917  7 Se 3.34-3.65, 1 Si 3.69
17 Si 0.4986 0.6091 0.0958  4 Se 2.24-2.38
18 Si 0.0014 0.1091 0.4042  4 Se 2.24-2.38
19 Si 0.5014 0.3909 0.9042  4 Se 2.24-2.38
20 Si 0.9986 0.8909 0.5958  4 Se 2.24-2.38

Top of the stability list: 1, leading by 0.014 eV/atom.